# 1
Sm2ThZn9: relaxed, GGA-PBE.

Values from the calculation:
The calculation puts the total magnetization at 0.000 μB per atom. For the electronic total energy, the calculation gives -31.73 eV for the cell shown. The calculation puts the density of states at the Fermi level at 0.6571 states/eV/atom. For the formation energy from the elements, the calculation gives -0.284 eV per atom.

abc: 5.495 5.495 9.287
angles: 72.79 72.79 60.00
Atoms (fractional coordinates):
1 Sm 0.858 0.858 0.425
2 Sm 0.142 0.142 0.575
3 Th 0.000 0.000 0.000
4 Zn 0.665 0.665 0.005
5 Zn 0.335 0.335 0.995
6 Zn 0.500 0.500 0.500
7 Zn 0.416 0.416 0.246
8 Zn 0.923 0.416 0.246
9 Zn 0.416 0.923 0.246
10 Zn 0.584 0.584 0.754
11 Zn 0.584 0.077 0.754
12 Zn 0.077 0.584 0.754



# 2
SmThZn2: relaxed, GGA-PBE.

Values from the calculation:
The calculation puts the total magnetization at 0.000 μB per atom. For the electronic total energy, the calculation gives -14.87 eV for the cell shown. The calculation puts the density of states at the Fermi level at 0.9706 states/eV/atom. The excess energy over the best structure of this formula in the dataset is 19.3 kJ per mole of atoms. For the formation energy from the elements, the calculation gives -0.045 eV per atom.

abc: 3.624 3.624 9.469
angles: 78.97 78.97 60.00
Atoms (fractional coordinates):
1 Zn 0.752 0.752 0.745
2 Zn 0.248 0.248 0.255
3 Sm 0.500 0.500 0.500
4 Th 0.000 0.000 0.000



# 3
Sm2ThZn3: relaxed, GGA-PBE.

Values from the calculation:
The calculation puts the total magnetization at 0.000 μB per atom. For the electronic total energy, the calculation gives -22.26 eV for the cell shown. The calculation puts the density of states at the Fermi level at 1.1966 states/eV/atom. The excess energy over the best structure of this formula in the dataset is 0.5 kJ per mole of atoms. For the formation energy from the elements, the calculation gives -0.263 eV per atom.

abc: 5.165 5.165 6.320
angles: 90.00 90.00 120.00
Atoms (fractional coordinates):
1 Sm 0.667 0.333 0.336
2 Sm 0.333 0.667 0.664
3 Th 0.000 0.000 0.000
4 Zn 0.000 0.000 0.500
5 Zn 0.667 0.333 0.836
6 Zn 0.333 0.667 0.164



# 4
Sm2ThZn: relaxed, GGA-PBE.

Values from the calculation:
The calculation puts the total magnetization at 0.000 μB per atom. For the electronic total energy, the calculation gives -18.10 eV for the cell shown. The calculation puts the density of states at the Fermi level at 1.5371 states/eV/atom. The excess energy over the best structure of this formula in the dataset is 14.9 kJ per mole of atoms. For the formation energy from the elements, the calculation gives 0.008 eV per atom.

abc: 4.876 4.806 4.806
angles: 90.00 90.00 90.00
Atoms (fractional coordinates):
1 Zn 0.500 0.500 0.500
2 Sm 0.000 0.000 0.500
3 Sm 0.000 0.500 0.000
4 Th 0.500 0.000 0.000



# 5
SmTh2Zn: relaxed, GGA-PBE.

Values from the calculation:
The calculation puts the total magnetization at 0.000 μB per atom. For the electronic total energy, the calculation gives -20.28 eV for the cell shown. The calculation puts the density of states at the Fermi level at 1.4419 states/eV/atom. The excess energy over the best structure of this formula in the dataset is 15.0 kJ per mole of atoms. For the formation energy from the elements, the calculation gives 0.139 eV per atom.

abc: 5.433 5.433 5.433
angles: 60.00 60.00 60.00
Atoms (fractional coordinates):
1 Zn 0.500 0.500 0.500
2 Sm 0.000 0.000 0.000
3 Th 0.750 0.750 0.750
4 Th 0.250 0.250 0.250



# 6
Sm2ThZn: relaxed, GGA-PBE.

Values from the calculation:
The calculation puts the total magnetization at 0.000 μB per atom. For the electronic total energy, the calculation gives -18.72 eV for the cell shown. The calculation puts the density of states at the Fermi level at 1.1864 states/eV/atom. The excess energy over the best structure of this formula in the dataset is 0.0 kJ per mole of atoms. For the formation energy from the elements, the calculation gives -0.147 eV per atom.

abc: 3.611 3.611 8.689
angles: 90.00 90.00 90.00
Atoms (fractional coordinates):
1 Zn 0.500 0.500 0.000
2 Sm 0.000 0.000 0.785
3 Sm 0.000 0.000 0.215
4 Th 0.500 0.500 0.500



# 7
SmThZn2: relaxed, GGA-PBE.

Values from the calculation:
The calculation puts the total magnetization at 0.000 μB per atom. For the electronic total energy, the calculation gives -15.67 eV for the cell shown. The calculation puts the density of states at the Fermi level at 1.0090 states/eV/atom. The excess energy over the best structure of this formula in the dataset is 0.0 kJ per mole of atoms. For the formation energy from the elements, the calculation gives -0.245 eV per atom.

abc: 3.644 3.644 7.336
angles: 90.00 90.00 90.00
Atoms (fractional coordinates):
1 Zn 0.000 0.000 0.743
2 Zn 0.000 0.000 0.257
3 Sm 0.500 0.500 0.500
4 Th 0.500 0.500 0.000



# 8
SmThZn17: relaxed, GGA-PBE.

Values from the calculation:
The calculation puts the total magnetization at 0.000 μB per atom. For the electronic total energy, the calculation gives -38.17 eV for the cell shown. The calculation puts the density of states at the Fermi level at 0.2742 states/eV/atom. For the formation energy from the elements, the calculation gives -0.230 eV per atom.

abc: 6.834 6.834 6.834
angles: 82.86 82.86 82.86
Atoms (fractional coordinates):
1 Sm 0.336 0.336 0.336
2 Th 0.664 0.664 0.664
3 Zn 0.293 0.001 0.706
4 Zn 0.706 0.293 0.001
5 Zn 0.001 0.706 0.293
6 Zn 0.293 0.706 0.001
7 Zn 0.001 0.293 0.706
8 Zn 0.706 0.001 0.293
9 Zn 0.351 0.839 0.351
10 Zn 0.351 0.351 0.839
11 Zn 0.839 0.351 0.351
12 Zn 0.649 0.162 0.649
13 Zn 0.649 0.649 0.162
14 Zn 0.162 0.649 0.649
15 Zn 0.999 0.500 0.999
16 Zn 0.999 0.999 0.500
17 Zn 0.500 0.999 0.999
18 Zn 0.901 0.901 0.901
19 Zn 0.099 0.099 0.099



# 9
Sm2ThZn: relaxed, GGA-PBE.

Values from the calculation:
The calculation puts the total magnetization at 0.000 μB per atom. For the electronic total energy, the calculation gives -18.28 eV for the cell shown. The calculation puts the density of states at the Fermi level at 1.3817 states/eV/atom. The excess energy over the best structure of this formula in the dataset is 10.6 kJ per mole of atoms. For the formation energy from the elements, the calculation gives -0.037 eV per atom.

abc: 3.628 3.628 10.598
angles: 80.15 80.15 60.00
Atoms (fractional coordinates):
1 Zn 0.000 0.000 0.000
2 Sm 0.741 0.741 0.777
3 Sm 0.259 0.259 0.223
4 Th 0.500 0.500 0.500



# 10
SmTh2Zn9: relaxed, GGA-PBE.

Values from the calculation:
The calculation puts the total magnetization at 0.000 μB per atom. For the electronic total energy, the calculation gives -34.09 eV for the cell shown. The calculation puts the density of states at the Fermi level at 0.4914 states/eV/atom. For the formation energy from the elements, the calculation gives -0.256 eV per atom.

abc: 5.505 5.505 9.346
angles: 72.87 72.87 60.00
Atoms (fractional coordinates):
1 Sm 0.000 0.000 0.000
2 Th 0.855 0.855 0.434
3 Th 0.145 0.145 0.566
4 Zn 0.665 0.665 0.006
5 Zn 0.335 0.335 0.994
6 Zn 0.500 0.500 0.500
7 Zn 0.417 0.417 0.241
8 Zn 0.926 0.417 0.241
9 Zn 0.417 0.926 0.241
10 Zn 0.583 0.583 0.759
11 Zn 0.583 0.074 0.759
12 Zn 0.074 0.583 0.759



# 11
Sm5ThZn4: relaxed, GGA-PBE.

Values from the calculation:
The calculation puts the total magnetization at 0.002 μB per atom. For the electronic total energy, the calculation gives -38.60 eV for the cell shown. The calculation puts the density of states at the Fermi level at 1.1683 states/eV/atom. For the formation energy from the elements, the calculation gives -0.249 eV per atom.

abc: 3.627 3.627 19.634
angles: 90.00 90.00 90.00
Atoms (fractional coordinates):
1 Sm 0.500 0.500 0.127
2 Sm 0.500 0.500 0.315
3 Sm 0.500 0.500 0.500
4 Sm 0.500 0.500 0.685
5 Sm 0.500 0.500 0.873
6 Th 0.000 0.000 0.000
7 Zn 0.000 0.000 0.221
8 Zn 0.000 0.000 0.407
9 Zn 0.000 0.000 0.593
10 Zn 0.000 0.000 0.779



# 12
SmThZn2: relaxed, GGA-PBE.

Values from the calculation:
The calculation puts the total magnetization at 0.000 μB per atom. For the electronic total energy, the calculation gives -31.33 eV for the cell shown. The calculation puts the density of states at the Fermi level at 1.1091 states/eV/atom. The excess energy over the best structure of this formula in the dataset is 0.1 kJ per mole of atoms. For the formation energy from the elements, the calculation gives -0.245 eV per atom.

abc: 3.643 5.161 10.364
angles: 90.00 90.00 90.00
Atoms (fractional coordinates):
1 Sm 0.500 0.250 0.878
2 Sm 0.500 0.750 0.122
3 Th 0.500 0.250 0.379
4 Th 0.500 0.750 0.621
5 Zn 0.000 0.250 0.126
6 Zn 0.000 0.750 0.874
7 Zn 0.000 0.250 0.634
8 Zn 0.000 0.750 0.366



# 13
SmThZn4: relaxed, GGA-PBE.

Values from the calculation:
The calculation puts the total magnetization at 0.000 μB per atom. For the electronic total energy, the calculation gives -18.73 eV for the cell shown. The calculation puts the density of states at the Fermi level at 1.4125 states/eV/atom. The excess energy over the best structure of this formula in the dataset is 2.5 kJ per mole of atoms. For the formation energy from the elements, the calculation gives -0.250 eV per atom.

abc: 4.189 4.189 8.161
angles: 104.87 104.87 90.00
Atoms (fractional coordinates):
1 Sm 0.000 0.000 0.000
2 Th 0.250 0.750 0.500
3 Zn 0.667 0.167 0.335
4 Zn 0.582 0.582 0.164
5 Zn 0.833 0.333 0.665
6 Zn 0.418 0.418 0.836